Record 1
# Tl2SbP

A geometry-optimized Tl2SbP structure (GGA-PBE, the Alexandria database).

Summary:
**Space-group type**: Immm, No. 71
**Polymorph energy (0 for the lowest one)**: 59.0 meV per atom
**ΔE_f (raw)**: 0.55 eV per formula unit

Cell lengths 7.951, 7.951, 7.951 Å; angles 152.36, 149.49, 41.63 degrees
Positions (direct):
Tl 0.172 0.172 0.000
Tl 0.828 0.828 0.000
Sb 0.500 0.000 0.500
P 0.000 0.500 0.500

---

Record 2
# Ba2DyPbS5

A geometry-optimized Ba2DyPbS5 structure (GGA-PBE, the Alexandria database).

Summary:
**Space-group type**: Cmc2_1, No. 36
**ΔE_f (raw)**: -14.14 eV per formula unit

Cell lengths 9.222, 9.222, 13.167 Å; angles 90.00, 90.00, 153.30 degrees
Positions (direct):
Ba 0.113 0.887 0.500
Ba 0.141 0.859 0.121
Ba 0.859 0.141 0.621
Ba 0.887 0.113 0.000
Dy 0.213 0.787 0.831
Dy 0.787 0.213 0.331
Pb 0.468 0.532 0.270
Pb 0.532 0.468 0.770
S 0.058 0.942 0.888
S 0.284 0.716 0.466
S 0.317 0.683 0.194
S 0.362 0.638 0.814
S 0.490 0.510 0.579
S 0.510 0.490 0.079
S 0.638 0.362 0.314
S 0.683 0.317 0.694
S 0.716 0.284 0.966
S 0.942 0.058 0.388